Density functional theory data (PBE) for a relaxed CrMoS2Cl crystal.

Values from the calculation:
Calculated total energy = -5.7295 eV per atom
Symmetry = No. 123
Polymorph energy (0 for the lowest one) = 212 meV/atom
Uncorrected formation energy = 36.8 kJ/mol of atoms

Structure (POSCAR):
```
CrMoS2Cl
1.0
-1.9860 -2.7907 3.2240
4.2047 -1.8729 0.9689
0.6822 3.1669 3.1615
Cl Mo Cr S
1 1 1 2
direct
0.0000 0.0000 0.5000
0.5000 0.5000 0.5000
0.0000 0.0000 0.0000
0.5000 0.0000 0.0000
0.0000 0.5000 0.0000
```



Density functional theory data (PBE) for a relaxed PmDy2Ru9 crystal.

Values from the calculation:
Calculated total energy = -8.2363 eV per atom
Symmetry = No. 166
Formation energy from the elements = -0.117 eV per atom

Structure (POSCAR):
```
PmDy2Ru9
1.0
5.0742 0.0000 1.5102
2.3124 4.5167 1.5102
0.0175 0.0107 9.2210
Ru Dy Pm
9 2 1
direct
0.3383 0.3383 0.9852
0.9276 0.4115 0.2495
0.0724 0.5885 0.7505
0.4115 0.9276 0.2495
0.5885 0.5885 0.7505
0.5000 0.5000 0.5000
0.4115 0.4115 0.2495
0.6617 0.6617 0.0148
0.5885 0.0724 0.7505
0.1397 0.1397 0.5808
0.8603 0.8603 0.4192
0.0000 0.0000 0.0000
```